Arrangement A

## K2MgZrGe (PBE)

Data for K2MgZrGe after structural relaxation.

a = 6.4835 Å, b = 6.4835 Å, c = 4.9626 Å
α = 90.00°, β = 90.00°, γ = 90.00°
Element x y z (fractional)
K (0.0000, 0.5000, 0.0000)
K (0.5000, 0.0000, 0.0000)
Mg (0.0000, 0.0000, 0.5000)
Zr (0.5000, 0.5000, 0.5000)
Ge (0.0000, 0.0000, 0.0000)



Arrangement B

## K2MgZrGe (PBE)

Data for K2MgZrGe after structural relaxation.

a = 6.4365 Å, b = 6.4365 Å, c = 5.7001 Å
α = 90.00°, β = 90.00°, γ = 90.00°
Element x y z (fractional)
K (0.0000, 0.5000, 0.0000)
K (0.5000, 0.0000, 0.0000)
Mg (0.0000, 0.0000, 0.5000)
Zr (0.0000, 0.0000, 0.0000)
Ge (0.5000, 0.5000, 0.5000)



Stability summary: most stable arrangement A, least stable arrangement B.



Arrangement A

## KMnGe2 (PBE)

Data for KMnGe2 after structural relaxation.

a = 4.9752 Å, b = 4.9752 Å, c = 4.9752 Å
α = 60.00°, β = 60.00°, γ = 60.00°
Element x y z (fractional)
K (0.0000, 0.0000, 0.0000)
Mn (0.5000, 0.5000, 0.5000)
Ge (0.2500, 0.2500, 0.2500)
Ge (0.7500, 0.7500, 0.7500)



Arrangement B

## KMnGe2 (PBE)

Data for KMnGe2 after structural relaxation.

a = 7.0811 Å, b = 7.0811 Å, c = 7.0811 Å
α = 33.95°, β = 33.95°, γ = 33.95°
Element x y z (fractional)
K (0.0000, 0.0000, 0.0000)
Mn (0.5000, 0.5000, 0.5000)
Ge (0.2092, 0.2092, 0.2092)
Ge (0.7908, 0.7908, 0.7908)



Stability summary: most stable arrangement B, least stable arrangement A.



Arrangement A

## KGe3Mo (PBE)

Data for KGe3Mo after structural relaxation.

a = 5.1178 Å, b = 5.1178 Å, c = 5.1178 Å
α = 90.00°, β = 90.00°, γ = 90.00°
Element x y z (fractional)
K (0.0000, 0.0000, 0.0000)
Ge (0.0000, 0.0000, 0.5000)
Ge (0.0000, 0.5000, 0.0000)
Ge (0.5000, 0.0000, 0.0000)
Mo (0.5000, 0.5000, 0.5000)



Arrangement B

## KGe3Mo (PBE)

Data for KGe3Mo after structural relaxation.

a = 4.9740 Å, b = 4.9740 Å, c = 4.9740 Å
α = 90.00°, β = 90.00°, γ = 90.00°
Element x y z (fractional)
K (0.0000, 0.0000, 0.0000)
Ge (0.0000, 0.5000, 0.5000)
Ge (0.5000, 0.0000, 0.5000)
Ge (0.5000, 0.5000, 0.0000)
Mo (0.5000, 0.5000, 0.5000)



Stability summary: most stable arrangement B, least stable arrangement A.



Arrangement A

## KGe2Mo (PBE)

Data for KGe2Mo after structural relaxation.

a = 4.8511 Å, b = 4.8511 Å, c = 4.8511 Å
α = 60.00°, β = 60.00°, γ = 60.00°
Element x y z (fractional)
K (0.0000, 0.0000, 0.0000)
Ge (0.2500, 0.2500, 0.2500)
Ge (0.7500, 0.7500, 0.7500)
Mo (0.5000, 0.5000, 0.5000)



Arrangement B

## KGe2Mo (PBE)

Data for KGe2Mo after structural relaxation.

a = 8.7058 Å, b = 8.7058 Å, c = 8.7058 Å
α = 139.77°, β = 139.77°, γ = 58.21°
Element x y z (fractional)
K (0.0000, 0.0000, 0.0000)
K (0.7500, 0.2500, 0.5000)
Ge (0.3740, 0.6250, 0.2490)
Ge (0.3750, 0.6240, 0.7490)
Ge (0.3760, 0.1250, 0.7510)
Ge (0.8750, 0.6260, 0.2510)
Mo (0.2500, 0.7500, 0.5000)
Mo (0.5000, 0.5000, 0.0000)



Stability summary: most stable arrangement B, least stable arrangement A.



Arrangement A

## K2SnGeMo (PBE)

Data for K2SnGeMo after structural relaxation.

a = 6.8021 Å, b = 6.8021 Å, c = 5.1870 Å
α = 90.00°, β = 90.00°, γ = 90.00°
Element x y z (fractional)
K (0.0000, 0.5000, 0.0000)
K (0.5000, 0.0000, 0.0000)
Sn (0.0000, 0.0000, 0.0000)
Ge (0.0000, 0.0000, 0.5000)
Mo (0.5000, 0.5000, 0.5000)



Arrangement B

## K2SnGeMo (PBE)

Data for K2SnGeMo after structural relaxation.

a = 6.5119 Å, b = 6.5119 Å, c = 4.9151 Å
α = 90.00°, β = 90.00°, γ = 90.00°
Element x y z (fractional)
K (0.0000, 0.5000, 0.0000)
K (0.5000, 0.0000, 0.0000)
Sn (0.0000, 0.0000, 0.5000)
Ge (0.5000, 0.5000, 0.5000)
Mo (0.5000, 0.5000, 0.0000)



Stability summary: most stable arrangement B, least stable arrangement A.



Arrangement A

## KGeS2N (PBE)

Data for KGeS2N after structural relaxation.

a = 5.0023 Å, b = 5.0023 Å, c = 3.9156 Å
α = 90.00°, β = 90.00°, γ = 90.00°
Element x y z (fractional)
K (0.0000, 0.0000, 0.0000)
Ge (0.5000, 0.5000, 0.5000)
S (0.0000, 0.5000, 0.5000)
S (0.5000, 0.0000, 0.5000)
N (0.5000, 0.5000, 0.0000)



Arrangement B

## KGeS2N (PBE)

Data for KGeS2N after structural relaxation.

a = 5.5245 Å, b = 5.5245 Å, c = 4.7539 Å
α = 90.00°, β = 90.00°, γ = 90.00°
Element x y z (fractional)
K (0.0000, 0.0000, 0.0000)
Ge (0.5000, 0.5000, 0.5000)
S (0.0000, 0.5000, 0.0000)
S (0.5000, 0.0000, 0.0000)
N (0.0000, 0.0000, 0.5000)



Stability summary: most stable arrangement A, least stable arrangement B.



Arrangement A

## KGeTeN2 (PBE)

Data for KGeTeN2 after structural relaxation.

a = 4.7999 Å, b = 4.7999 Å, c = 6.7812 Å
α = 90.00°, β = 90.00°, γ = 90.00°
Element x y z (fractional)
K (0.0000, 0.0000, 0.0000)
Ge (0.5000, 0.5000, 0.5000)
Te (0.0000, 0.0000, 0.5000)
N (0.0000, 0.5000, 0.0000)
N (0.5000, 0.0000, 0.0000)



Arrangement B

## KGeTeN2 (PBE)

Data for KGeTeN2 after structural relaxation.

a = 4.3474 Å, b = 4.3474 Å, c = 5.5717 Å
α = 90.00°, β = 90.00°, γ = 90.00°
Element x y z (fractional)
K (0.0000, 0.0000, 0.0000)
Ge (0.5000, 0.5000, 0.5000)
Te (0.5000, 0.5000, 0.0000)
N (0.0000, 0.5000, 0.5000)
N (0.5000, 0.0000, 0.5000)



Stability summary: most stable arrangement B, least stable arrangement A.



Arrangement A

## KNaGe3 (PBE)

Data for KNaGe3 after structural relaxation.

a = 5.2660 Å, b = 5.2660 Å, c = 5.2660 Å
α = 90.00°, β = 90.00°, γ = 90.00°
Element x y z (fractional)
K (0.0000, 0.0000, 0.0000)
Na (0.5000, 0.5000, 0.5000)
Ge (0.0000, 0.5000, 0.5000)
Ge (0.5000, 0.0000, 0.5000)
Ge (0.5000, 0.5000, 0.0000)



Arrangement B

## KNaGe3 (PBE)

Data for KNaGe3 after structural relaxation.

a = 5.6512 Å, b = 5.6512 Å, c = 5.6512 Å
α = 90.00°, β = 90.00°, γ = 90.00°
Element x y z (fractional)
K (0.0000, 0.0000, 0.0000)
Na (0.5000, 0.5000, 0.5000)
Ge (0.0000, 0.0000, 0.5000)
Ge (0.0000, 0.5000, 0.0000)
Ge (0.5000, 0.0000, 0.0000)



Stability summary: most stable arrangement A, least stable arrangement B.